BaV3Rh | PBE | relaxed

a b c (Å): 4.697 4.697 4.697
angles (deg): 90.00 90.00 90.00
Element x y z (fractional)
Rh1 0.500 0.500 0.500
Ba1 0.000 0.000 0.000
V1 0.000 0.500 0.000
V2 0.000 0.000 0.500
V3 0.500 0.000 0.000

Output
calculated formation energy	2.510	eV/atom
relative energy among the computed polymorphs	1739	meV/atom
SG	No. 221
magnetization	0.00	μB per formula unit